Entry from the Alexandria database: Li2CaSiH after structural relaxation (GGA-PBE).

Properties
ΔE to the lowest computed polymorph	44	meV per atom

Lattice parameters (Å, degrees): 4.1887 4.1887 4.6840 90.00 90.00 90.00
Closest atoms and distances in Å follow each position.
Atoms (fractional coordinates):
Li 0.0000 0.5000 0.0000  2 H 2.09
Li 0.5000 0.0000 0.0000  2 H 2.09
Ca 0.0000 0.0000 0.5000  2 H 2.34
Si 0.5000 0.5000 0.5000  4 Ca 2.96, 8 Li 3.14
H 0.0000 0.0000 0.0000  4 Li 2.09, 2 Ca 2.34

Entry from the Alexandria database: Li2CaSiH after structural relaxation (GGA-PBE).

Properties
ΔE to the lowest computed polymorph	0	meV per atom

Lattice parameters (Å, degrees): 5.9111 5.9111 8.1902 90.00 90.00 146.12
Closest atoms and distances in Å follow each position.
Atoms (fractional coordinates):
Li 0.1616 0.8384 0.5417  1 H 1.86
Li 0.1616 0.8384 0.9583  1 H 1.86
Li 0.8384 0.1616 0.0417  1 H 1.86
Li 0.8384 0.1616 0.4583  1 H 1.86
Ca 0.4616 0.5384 0.7500  4 H 2.71
Ca 0.5384 0.4616 0.2500  4 H 2.71
Si 0.2614 0.7386 0.2500  6 Li 2.58-2.64
Si 0.7386 0.2614 0.7500  6 Li 2.58-2.64
H 0.0000 0.0000 0.0000  2 Li 1.86
H 0.0000 0.0000 0.5000  2 Li 1.86

Entry from the Alexandria database: Li2CaSnH after structural relaxation (GGA-PBE).

Properties
final energy	-3.045	eV/atom

Lattice parameters (Å, degrees): 4.4655 4.4655 4.6878 90.00 90.00 90.00
Closest atoms and distances in Å follow each position.
Atoms (fractional coordinates):
Li 0.0000 0.5000 0.0000  2 H 2.23
Li 0.5000 0.0000 0.0000  2 H 2.23
Ca 0.0000 0.0000 0.5000  2 H 2.34
Sn 0.5000 0.5000 0.5000  4 Ca 3.16, 8 Li 3.24
H 0.0000 0.0000 0.0000  4 Li 2.23, 2 Ca 2.34